Entry 1:
PBE Tb5Dy2Ru5, optimized geometry; VASP energy = -81.2 eV/cell; volume = 22.4 Å³ per atom; crystal system = monoclinic
1.0
-0.9244 -2.5950 -3.9820
-2.3509 -4.2189 0.3452
-12.6552 4.0770 -2.6417
Tb Dy Ru
5 2 5
Cartesian
-7.9652 -1.3684 -3.1393 Tb
-1.9220 -1.8157 -1.3150 Tb
-5.1813 -0.0258 -1.7177 Tb
-10.7491 -2.7111 -4.5608 Tb
-14.0084 -0.9212 -4.9635 Tb
-10.1559 2.7078 -2.3317 Dy
-5.7746 -5.4447 -3.9468 Dy
-8.3069 -4.0508 -4.2585 Ru
-11.9770 0.8355 -3.6346 Ru
-3.9535 -3.5724 -2.6439 Ru
-7.6236 1.3140 -2.0200 Ru
0.0000 0.0000 0.0000 Ru

***

Entry 2:
PBE AcTb4Sm6, optimized geometry; VASP energy = -99.0 eV/cell; volume = 34.2 Å³ per atom; crystal system = orthorhombic
1.0
-3.9952 -0.4875 -4.4058
1.6865 -4.5570 3.0162
-19.1226 4.1003 16.8866
Ac Tb Sm
2 8 12
Cartesian
-6.9520 -1.9001 2.4731 Ac
-14.4793 0.9559 13.0240 Ac
-12.5934 -1.4005 7.5334 Tb
-2.6300 -3.7953 2.8048 Tb
-8.8379 0.4563 7.9637 Tb
-18.8013 2.8511 12.6922 Tb
-20.5240 0.3000 14.5366 Tb
-0.9074 -1.2442 0.9605 Tb
-13.9427 1.8093 8.4018 Tb
-7.4886 -2.7535 7.0953 Tb
-1.9976 -0.2438 -2.2029 Sm
-11.5589 1.8064 6.2404 Sm
-6.2013 0.2166 5.5994 Sm
-15.2300 -1.1609 9.8977 Sm
-17.9291 -0.5821 12.2812 Sm
-3.5023 -0.3621 3.2159 Sm
-9.8676 -1.4274 5.0646 Sm
-11.5637 0.4831 10.4325 Sm
-17.3754 1.7293 15.5646 Sm
-4.0559 -2.6735 -0.0676 Sm
-5.0527 -3.1721 4.9328 Sm
-16.3787 2.2279 10.5643 Sm

***

Entry 3:
PBE AlSiPd2, optimized geometry; E_form (uncorrected) = -575.0 meV/atom; volume = 14.5 Å³ per atom; crystal system = tetragonal
1.0
3.1099 0.0000 0.0000
0.0000 3.1099 0.0000
0.0000 0.0000 5.9889
Si Al Pd
1 1 2
Cartesian
1.5549 1.5549 0.0000 Si
1.5549 1.5549 2.9944 Al
0.0000 0.0000 4.5046 Pd
0.0000 0.0000 1.4843 Pd

***

Entry 4:
PBE CsPmMgO3, optimized geometry; E_form (uncorrected) = -2499.5 meV/atom; volume = 21.2 Å³ per atom; crystal system = monoclinic
1.0
-2.2918 -2.6222 -1.2312
4.9413 -1.2824 -6.4668
2.6354 -5.3266 6.4389
Cs Pm Mg O
2 2 2 6
Cartesian
4.3118 -7.1912 -1.0219 Cs
0.9732 -2.0400 -0.2372 Cs
3.0541 -2.2606 -3.6409 Pm
2.2309 -6.9705 2.3818 Pm
1.4403 -4.0060 3.0805 Mg
3.8446 -5.2252 -4.3395 Mg
4.8030 -4.0970 -2.9851 O
2.8711 -3.8847 -5.3824 O
0.9225 -3.2499 -3.1069 O
0.4820 -5.1341 1.7261 O
4.3625 -5.9812 1.8478 O
2.4139 -5.3465 4.1233 O

***

Entry 5:
PBE In2NiSbCl, optimized geometry; E_form (uncorrected) = 257.6 meV/atom; volume = 27.1 Å³ per atom; crystal system = tetragonal
1.0
-4.0476 0.6189 4.0919
1.9763 -2.6384 2.3540
3.0249 4.3486 2.3345
Sb Cl Ni In
1 1 1 2
Cartesian
0.4768 1.1645 4.3902 Sb
0.0000 0.0000 0.0000 Cl
0.9882 -1.3192 1.1770 Ni
1.5124 2.1743 1.1672 In
-2.0238 0.3094 2.0460 In

***

Entry 6:
PBE Pr4SmDy8, optimized geometry; VASP energy = -53.9 eV/cell; volume = 37.2 Å³ per atom; crystal system = trigonal
1.0
7.6468 -1.1617 1.3394
0.9159 7.6801 1.3394
-1.5261 -1.1617 7.6117
Pr Sm Dy
4 1 8
Cartesian
3.0603 -1.1617 4.4756 Pr
-0.3051 3.2592 4.4756 Pr
4.2813 3.2592 1.3394 Pr
0.0000 0.0000 0.0000 Pr
3.5183 2.6783 5.1453 Sm
2.1573 5.2807 3.1549 Dy
6.1517 4.6830 3.8674 Dy
4.8793 0.0759 7.1357 Dy
1.3721 4.6830 7.1357 Dy
5.3530 4.0750 7.8284 Dy
1.6836 1.2817 2.4622 Dy
5.6645 0.6736 3.1549 Dy
0.8849 0.6736 6.4231 Dy

***

Entry 7:
PBE AcAsBr6, optimized geometry; E_form (uncorrected) = -1133.9 meV/atom; volume = 35.3 Å³ per atom; crystal system = trigonal
1.0
7.0741 0.0091 0.0108
3.5293 6.1306 0.0143
3.5244 2.0365 6.5296
Ac As Br
1 1 6
Cartesian
7.0639 4.0881 3.2773 Ac
0.0000 0.0000 0.0000 As
4.5320 3.9996 5.0078 Br
8.4005 1.9383 5.0105 Br
5.8763 1.8576 1.5380 Br
5.7274 6.2379 1.5441 Br
9.5959 4.1766 1.5468 Br
8.2516 6.3186 5.0166 Br

***

Entry 8:
PBE CaHg4Sb, optimized geometry; E_form (uncorrected) = -100.7 meV/atom; volume = 26.8 Å³ per atom; crystal system = cubic
1.0
0.0000 4.3159 4.3159
4.3159 0.0000 4.3159
4.3159 4.3159 0.0000
Ca Hg Sb
1 4 1
Cartesian
0.0000 0.0000 0.0000 Ca
5.3922 3.2395 5.3922 Hg
3.2395 5.3922 5.3922 Hg
5.3922 5.3922 3.2395 Hg
3.2395 3.2395 3.2395 Hg
6.4738 6.4738 6.4738 Sb

***

Entry 9:
PBE MoIr2Ru2, optimized geometry; distance to the lowest polymorph of the same formula = 274 meV per atom; volume = 15.2 Å³ per atom; crystal system = tetragonal
1.0
-6.1570 -0.8364 4.0634
-3.6257 -2.4494 -5.9979
0.7480 -2.5812 0.6020
Ru Mo Ir
4 2 4
Cartesian
-3.1298 -3.0833 -3.0323 Ru
-6.7677 -3.8795 -1.9261 Ru
-5.9049 -2.7838 1.6999 Ru
-2.2670 -1.9876 0.5937 Ru
0.0000 0.0000 0.0000 Mo
-4.8913 -1.6429 -0.9672 Mo
-5.4845 -2.4580 -3.7250 Ir
-7.6542 -2.2622 -0.1899 Ir
-4.2981 -0.8279 1.7906 Ir
-2.1284 -1.0236 -1.7445 Ir

***

Entry 10:
PBE LiTiAlAu, optimized geometry; VASP energy = -18.2 eV/cell; volume = 15.7 Å³ per atom; crystal system = cubic
1.0
-2.4876 2.6046 2.6319
-4.2859 0.7333 -0.9963
-3.2142 -1.7952 2.5190
Li Au Al Ti
1 1 1 1
Cartesian
-4.9938 0.7713 2.0773 Li
0.0000 0.0000 0.0000 Au
-7.4907 1.1570 3.1159 Al
-2.4969 0.3857 1.0386 Ti

***

Entry 11:
PBE TlPIr2, optimized geometry; distance to the lowest polymorph of the same formula = 106 meV per atom; volume = 20.0 Å³ per atom; crystal system = monoclinic
1.0
-4.7824 -1.8356 0.8817
-4.1447 -2.4984 -1.8967
1.8179 -4.9284 1.5929
Ir P Tl
2 1 1
Cartesian
0.7912 -4.2427 1.1937 Ir
-5.6038 -7.5549 0.5161 Ir
-2.7892 -4.7841 0.5011 P
-1.2441 -2.2404 0.2489 Tl

***

Entry 12:
PBE NaTlZnCd, optimized geometry; VASP energy = -5.8 eV/cell; volume = 23.3 Å³ per atom; crystal system = cubic
1.0
-1.1943 3.1299 3.8331
0.9504 -1.3833 4.8061
3.6866 2.3199 2.6347
Na Tl Zn Cd
1 1 1 1
Cartesian
1.7214 2.0333 5.6370 Na
0.8607 1.0166 2.8185 Tl
0.0000 0.0000 0.0000 Zn
2.5821 3.0499 8.4554 Cd

***

Entry 13:
PBE Eu3Ru, optimized geometry; VASP energy = -39.8 eV/cell; volume = 33.5 Å³ per atom; crystal system = orthorhombic
1.0
-1.6889 -3.7200 3.7134
3.8394 -0.3378 1.4078
-2.1142 6.3688 1.3144
Eu Ru
3 1
Cartesian
1.7321 1.2716 2.0617 Eu
-0.6870 -1.8738 1.9144 Eu
-1.3745 1.0110 4.4917 Eu
0.1611 -0.0142 0.0591 Ru

***

Entry 14:
PBE Be2Pd2Ru, optimized geometry; distance to the lowest polymorph of the same formula = 0 meV per atom; volume = 12.0 Å³ per atom; crystal system = tetragonal
1.0
-5.2970 0.4249 -3.9633
2.4513 -4.8504 -3.7962
-1.2932 -1.8510 1.5299
Ru Pd Be
2 4 4
Cartesian
0.0000 0.0000 0.0000 Ru
-1.4228 -2.2127 -3.8798 Ru
0.1206 -4.0636 -2.3832 Pd
-2.0920 -4.7135 -5.0398 Pd
-4.2595 -2.2128 -3.8464 Pd
-2.0469 -1.5629 -1.1898 Pd
0.1906 -4.0348 -4.7204 Be
-3.0154 -2.7191 -5.8386 Be
-3.0363 -0.3906 -3.0391 Be
0.1697 -1.7063 -1.9209 Be

***

Entry 15:
PBE CeGe2IrRh, optimized geometry; VASP energy = -35.4 eV/cell; volume = 18.3 Å³ per atom; crystal system = tetragonal
1.0
4.1739 0.0000 0.0000
0.0000 4.1739 0.0000
-2.0870 -2.0870 5.2393
Ce Ge Ir Rh
1 2 1 1
Cartesian
0.0000 0.0000 0.0000 Ce
2.0870 2.0870 1.2764 Ge
0.0000 0.0000 3.9629 Ge
0.0000 2.0870 2.6197 Ir
2.0870 0.0000 2.6197 Rh

***

Entry 16:
PBE Cs2Rb2US6, optimized geometry; E_form (uncorrected) = -1030.8 meV/atom; volume = 39.9 Å³ per atom; crystal system = monoclinic
1.0
7.8976 0.2626 0.0632
-3.6752 6.9953 0.0632
-1.5245 -2.6205 7.7672
Cs Rb U S
2 2 1 6
Cartesian
5.7740 1.4981 0.0632 Cs
-1.5515 5.7598 0.0632 Cs
-0.4416 3.3604 3.9468 Rb
3.1395 1.2770 3.9468 Rb
-0.7623 -1.3102 3.8836 U
2.4149 4.1510 5.4804 S
-1.7855 0.4909 5.3807 S
0.2830 0.4864 2.4132 S
1.3092 -1.3096 5.3807 S
4.4834 4.1466 2.5129 S
1.3887 5.9470 2.5129 S

***

Entry 17:
PBE YScSbSe, optimized geometry; E_form (uncorrected) = -1317.0 meV/atom; volume = 25.1 Å³ per atom; crystal system = trigonal
1.0
4.0574 -0.0002 -0.0004
-2.0280 3.5139 0.0001
-2.0284 -1.1708 7.0520
Y Sc Sb Se
1 1 1 1
Cartesian
2.4121 0.9146 2.4734 Y
-1.6449 0.9146 6.2618 Sc
0.3838 -0.2564 4.4774 Sb
-1.6453 3.2568 0.6770 Se

***

Entry 18:
PBE BeFeSb, optimized geometry; distance to the lowest polymorph of the same formula = 79 meV per atom; E_form (uncorrected) = 257.9 meV/atom; volume = 15.7 Å³ per atom; crystal system = cubic
1.0
4.0518 0.0000 0.0000
2.0259 3.5089 0.0000
2.0259 1.1696 3.3083
Sb Fe Be
1 1 1
Cartesian
0.0000 0.0000 0.0000 Sb
6.0777 3.5089 2.4812 Fe
4.0518 2.3393 1.6541 Be

***

Entry 19:
PBE Dy4P3S, optimized geometry; distance to the lowest polymorph of the same formula = 10 meV per atom; E_form (uncorrected) = -1760.5 meV/atom; volume = 22.3 Å³ per atom; crystal system = cubic
1.0
-5.6236 -0.2667 -0.1405
-0.0991 -0.8434 5.5673
-0.2847 5.5618 0.8375
Dy P S
4 3 1
Cartesian
-2.8118 -0.1333 -0.0702 Dy
-0.0495 -0.4217 2.7836 Dy
-0.1423 2.7809 0.4187 Dy
-3.0037 2.2259 3.1321 Dy
-0.1919 2.3592 3.2024 P
-2.9541 2.6475 0.3485 P
-2.8613 -0.5550 2.7134 P
0.0000 0.0000 0.0000 S

***

Entry 20:
PBE Li3PrCu8, optimized geometry; distance to the lowest polymorph of the same formula = 0 meV per atom; volume = 15.1 Å³ per atom; crystal system = trigonal
1.0
5.0152 0.0000 0.0000
-2.5076 4.3433 0.0000
0.0000 0.0000 8.2980
Li Pr Cu
3 1 8
Cartesian
2.5076 1.4477 3.2534 Li
2.5076 1.4477 0.4490 Li
0.0000 0.0000 8.0306 Li
0.0000 0.0000 4.6933 Pr
0.0000 2.8955 4.1278 Cu
0.0000 2.8955 0.0081 Cu
2.5076 0.0173 6.3339 Cu
1.2688 2.1630 6.3339 Cu
3.7464 2.1630 6.3339 Cu
0.0000 1.4493 2.0252 Cu
-1.2524 3.6186 2.0252 Cu
1.2524 3.6186 2.0252 Cu

***

Entry 21:
PBE LiCaSe2N, optimized geometry; distance to the lowest polymorph of the same formula = 0 meV per atom; E_form (uncorrected) = 2.5 meV/atom; volume = 19.8 Å³ per atom; crystal system = tetragonal
1.0
4.9195 0.0000 0.0000
0.0000 4.9195 0.0000
0.0000 0.0000 4.0828
Ca Li Se N
1 1 2 1
Cartesian
2.4598 2.4598 2.0414 Ca
0.0000 0.0000 0.0000 Li
0.0000 2.4598 0.0000 Se
2.4598 0.0000 0.0000 Se
0.0000 0.0000 2.0414 N

***

Entry 22:
PBE ZrGeOs2Pd, optimized geometry; VASP energy = -35.3 eV/cell; volume = 19.8 Å³ per atom; crystal system = tetragonal
1.0
-0.1008 -3.7769 2.4385
4.7599 -0.6922 -0.8753
1.0215 2.3561 3.6915
Ge Os Zr Pd
1 2 1 1
Cartesian
0.0000 0.0000 0.0000 Ge
0.5107 1.1780 1.8457 Os
-0.0504 -1.8885 1.2192 Os
2.3799 -0.3461 -0.4377 Zr
2.8403 -1.0565 2.6273 Pd

***

Entry 23:
PBE TmAl2Au, optimized geometry; VASP energy = -17.3 eV/cell; volume = 19.1 Å³ per atom; crystal system = tetragonal
1.0
4.2628 0.0000 0.0000
0.0000 4.2350 0.0000
0.0000 0.0000 4.2350
Tm Au Al
1 1 2
Cartesian
2.1314 2.1175 2.1175 Tm
2.1314 0.0000 0.0000 Au
0.0000 0.0000 2.1175 Al
0.0000 2.1175 0.0000 Al

***

Entry 24:
PBE SnTeF, optimized geometry; distance to the lowest polymorph of the same formula = 191 meV per atom; E_form (uncorrected) = -936.6 meV/atom; volume = 21.8 Å³ per atom; crystal system = hexagonal
1.0
-2.4141 1.4562 2.9122
-0.9615 -4.0304 1.2183
3.3675 2.0453 1.7689
Te Sn F
1 1 1
Cartesian
0.3153 0.9907 3.5265 Te
0.0772 -1.7613 1.8895 Sn
-0.4006 0.2417 0.4833 F

***

Entry 25:
PBE Sc4AlRh3, optimized geometry; VASP energy = -115.7 eV/cell; volume = 17.5 Å³ per atom; crystal system = tetragonal
1.0
-2.8783 -2.9593 1.9114
-2.4606 -1.5569 -6.1157
6.2225 -6.5862 -0.8269
Sc Rh Al
8 6 2
Cartesian
-3.3082 -2.6623 -3.6899 Sc
-0.1969 -5.9554 -4.1033 Sc
-2.0306 -1.8539 -0.5144 Sc
1.0807 -5.1470 -0.9278 Sc
2.7971 -6.1231 -5.2648 Sc
-3.1907 -5.7875 -2.9412 Sc
-1.9133 -4.9793 0.2336 Sc
4.0744 -5.3149 -2.0900 Sc
0.0000 0.0000 0.0000 Rh
3.1113 -3.2931 -0.4134 Rh
3.2269 -6.4202 0.3361 Rh
0.1174 -3.1253 0.7484 Rh
1.9954 -7.1999 -2.7209 Rh
-1.1117 -3.9025 -2.3103 Rh
-1.2303 -0.7785 -3.0578 Al
1.8810 -4.0715 -3.4713 Al